Computed, not measured: a geometry-optimized TcIrSe structure at the PBE level of DFT.

Space-group type: P3m1
Energy relative to the elements, uncorrected: 210 meV per atom
Electronic total energy: -22.08 eV for the cell shown
Density: 13.20 g/cm³
Calculated volume: 15.48 Å³ per atom

Unit cell a=2.9077 b=2.9077 c=6.3439 alpha=90.00 beta=90.00 gamma=120.00
Closest atoms and distances in Å follow each position.
Positions (direct):
Tc1 0.0000 0.0000 0.0000  3 Se 2.57, 3 Ir 2.68
Ir1 0.6667 0.3333 0.3287  3 Tc 2.68, 3 Se 2.86, 6 Ir 2.91
Se1 0.3333 0.6667 0.6936  3 Tc 2.57, 3 Ir 2.86